VASP calculation (PBE with a Hubbard U) on Mn2VO4 after structural relaxation.

Summary:
Total moment (μB per cell): 22.0
Total DFT energy (no corrections) (eV/atom): -7.793
Density of states at the Fermi level (states/eV per cell): 3.9
Space-group type: No. 160

a b c (Å): 6.191 6.191 6.191
angles (deg): 59.52 59.52 59.52
Sites, in units of the cell vectors:
Mn 0.000 0.000 0.000
Mn 0.129 0.633 0.633
Mn 0.633 0.129 0.633
Mn 0.633 0.633 0.129
V 0.263 0.263 0.263
V 0.634 0.634 0.634
O 0.390 0.390 0.390
O 0.395 0.395 0.872
O 0.395 0.872 0.395
O 0.409 0.857 0.857
O 0.857 0.409 0.857
O 0.857 0.857 0.409
O 0.867 0.867 0.867
O 0.872 0.395 0.395

=====

VASP calculation (PBE with a Hubbard U) on MnV2O7 after structural relaxation.

Summary:
Total moment (μB per cell): 6.0
Total DFT energy (no corrections) (eV/atom): -7.229
Density of states at the Fermi level (states/eV per cell): 0.2
Space-group type: No. 2

a b c (Å): 5.913 7.036 7.780
angles (deg): 80.66 84.53 75.39
Sites, in units of the cell vectors:
Mn 0.093 0.337 0.354
Mn 0.907 0.663 0.646
V 0.113 0.841 0.241
V 0.298 0.324 0.912
V 0.702 0.676 0.088
V 0.887 0.159 0.759
O 0.053 0.059 0.313
O 0.095 0.653 0.412
O 0.113 0.160 0.901
O 0.202 0.526 0.764
O 0.261 0.386 0.116
O 0.354 0.238 0.461
O 0.399 0.795 0.135
O 0.601 0.205 0.865
O 0.646 0.762 0.539
O 0.739 0.614 0.884
O 0.798 0.474 0.236
O 0.887 0.840 0.099
O 0.905 0.347 0.588
O 0.947 0.941 0.687

=====

VASP calculation (PBE with a Hubbard U) on MnVO4 after structural relaxation.

Summary:
Total moment (μB per cell): 8.0
Total DFT energy (no corrections) (eV/atom): -7.505
Space-group type: No. 74

a b c (Å): 5.611 5.611 5.611
angles (deg): 116.94 111.46 100.43
Sites, in units of the cell vectors:
Mn 0.500 0.000 0.000
Mn 0.500 0.500 0.500
V 0.037 0.287 0.750
V 0.963 0.713 0.250
O 0.179 0.193 0.514
O 0.179 0.666 0.986
O 0.289 0.240 0.049
O 0.309 0.760 0.549
O 0.691 0.240 0.451
O 0.711 0.760 0.951
O 0.821 0.334 0.014
O 0.821 0.807 0.486

=====

VASP calculation (PBE with a Hubbard U) on Y2MnVO6 after structural relaxation.

Summary:
Total moment (μB per cell): 6.0
Total DFT energy (no corrections) (eV/atom): -8.321
Density of states at the Fermi level (states/eV per cell): 0.0
Space-group type: No. 99

a b c (Å): 5.249 5.249 5.007
angles (deg): 90.00 90.00 90.00
Sites, in units of the cell vectors:
Y 0.000 0.500 0.000
Y 0.500 0.000 0.000
Mn 0.000 0.000 0.574
V 0.500 0.500 0.598
O 0.000 0.000 0.173
O 0.261 0.261 0.747
O 0.261 0.739 0.747
O 0.500 0.500 0.240
O 0.739 0.261 0.747
O 0.739 0.739 0.747